[1]
# Ba2In2Hg7, optimized geometry, DFT GGA-PBE
# ΔE_f: -278 meV per atom
data_Ba2In2Hg7
_chemical_formula_sum 'Ba4 In4 Hg14'
_symmetry_space_group_name_H-M 'C 1 2/m 1'
_symmetry_Int_Tables_number 12
_cell_length_a 10.140
_cell_length_b 11.339
_cell_length_c 5.917
_cell_angle_alpha 90.00
_cell_angle_beta 101.67
_cell_angle_gamma 90.00
loop_
_symmetry_equiv_pos_as_xyz
'x,y,z'
'-x,-y,-z'
'-x,y,-z'
'x,-y,z'
'x+1/2,y+1/2,z'
'-x+1/2,-y+1/2,-z'
'-x+1/2,y+1/2,-z'
'x+1/2,-y+1/2,z'
loop_
_atom_site_label
_atom_site_type_symbol
_atom_site_fract_x
_atom_site_fract_y
_atom_site_fract_z
Ba1 Ba 0.229 0.000 0.128
In1 In 0.000 0.274 0.000
Hg1 Hg 0.000 0.000 0.500
Hg2 Hg 0.079 0.500 0.309
Hg3 Hg 0.178 0.205 0.675



[2]
# LiGe2F8, optimized geometry, DFT GGA-PBE
# ΔE to the lowest computed polymorph: 0 meV/atom
# Formation energy (no corrections): -2302.4 meV/atom
data_LiGe2F8
_chemical_formula_sum 'Li1 Ge2 F8'
_symmetry_space_group_name_H-M 'P -3 m 1'
_symmetry_Int_Tables_number 164
_symmetry_space_group_name_Hall '-P 3 2"'
_cell_length_a 5.7040
_cell_length_b 5.7040
_cell_length_c 6.5976
_cell_angle_alpha 90.00
_cell_angle_beta 90.00
_cell_angle_gamma 120.00
loop_
_atom_site_label
_atom_site_type_symbol
_atom_site_fract_x
_atom_site_fract_y
_atom_site_fract_z
Li1 Li 0.0000 0.0000 0.0000
Ge1 Ge 0.3333 0.6667 0.7127
F1 F 0.1666 0.3333 0.8143
F2 F 0.3333 0.6667 0.4431



[3]
# MoOsBr2, optimized geometry, DFT GGA-PBE
# ΔE to the lowest computed polymorph: 928 meV/atom
# Formation energy (no corrections): 1102.3 meV/atom
data_MoOsBr2
_chemical_formula_sum 'Mo1 Os1 Br2'
_symmetry_space_group_name_H-M 'P 1 2/m 1'
_symmetry_Int_Tables_number 10
_cell_length_a 4.567
_cell_length_b 3.059
_cell_length_c 5.312
_cell_angle_alpha 90.00
_cell_angle_beta 113.13
_cell_angle_gamma 90.00
loop_
_symmetry_equiv_pos_as_xyz
'x,y,z'
'-x,-y,-z'
'-x,y,-z'
'x,-y,z'
loop_
_atom_site_label
_atom_site_type_symbol
_atom_site_fract_x
_atom_site_fract_y
_atom_site_fract_z
Mo1 Mo 0.000 0.000 0.000
Os1 Os 0.000 0.500 0.500
Br1 Br 0.500 0.000 0.500
Br2 Br 0.500 0.500 0.000



[4]
# Sc2HgPt, optimized geometry, DFT GGA-PBE
# ΔE_f: -675 meV per atom
data_Sc2HgPt
_chemical_formula_sum 'Sc4 Hg2 Pt2'
_symmetry_space_group_name_H-M 'C 1 m 1'
_symmetry_Int_Tables_number 8
_cell_length_a 10.238
_cell_length_b 3.428
_cell_length_c 4.757
_cell_angle_alpha 90.00
_cell_angle_beta 104.34
_cell_angle_gamma 90.00
loop_
_symmetry_equiv_pos_as_xyz
'x,y,z'
'x,-y,z'
'x+1/2,y+1/2,z'
'x+1/2,-y+1/2,z'
loop_
_atom_site_label
_atom_site_type_symbol
_atom_site_fract_x
_atom_site_fract_y
_atom_site_fract_z
Sc1 Sc 0.000 0.000 0.000
Sc2 Sc 0.223 0.000 0.662
Hg1 Hg 0.468 0.000 0.474
Pt1 Pt 0.220 0.500 0.144



[5]
# TbSmZnGe, optimized geometry, DFT GGA-PBE
# ΔE_f: -528 meV per atom
# ΔE to the lowest computed polymorph: 77 meV/atom
data_TbSmZnGe
_chemical_formula_sum 'Tb4 Sm4 Zn4 Ge4'
_symmetry_space_group_name_H-M 'F -4 3 m'
_symmetry_Int_Tables_number 216
_symmetry_space_group_name_Hall 'F -4 2 3'
_cell_length_a 7.191
_cell_length_b 7.191
_cell_length_c 7.191
_cell_angle_alpha 90.00
_cell_angle_beta 90.00
_cell_angle_gamma 90.00
loop_
_atom_site_label
_atom_site_type_symbol
_atom_site_fract_x
_atom_site_fract_y
_atom_site_fract_z
Tb1 Tb 0.000 0.000 0.000
Sm1 Sm 0.000 0.000 0.500
Zn1 Zn 0.250 0.250 0.750
Ge1 Ge 0.250 0.250 0.250



[6]
# Ho3Co, optimized geometry, DFT GGA-PBE
# ΔE_f: -81 meV per atom
data_Ho3Co
_chemical_formula_sum 'Ho6 Co2'
_symmetry_space_group_name_H-M 'I m m 2'
_symmetry_Int_Tables_number 44
_cell_length_a 3.514
_cell_length_b 10.679
_cell_length_c 5.264
_cell_angle_alpha 90.00
_cell_angle_beta 90.00
_cell_angle_gamma 90.00
loop_
_symmetry_equiv_pos_as_xyz
'x,y,z'
'-x,-y,z'
'-x,y,z'
'x,-y,z'
'x+1/2,y+1/2,z+1/2'
'-x+1/2,-y+1/2,z+1/2'
'-x+1/2,y+1/2,z+1/2'
'x+1/2,-y+1/2,z+1/2'
loop_
_atom_site_label
_atom_site_type_symbol
_atom_site_fract_x
_atom_site_fract_y
_atom_site_fract_z
Ho1 Ho 0.000 0.000 0.000
Ho2 Ho 0.000 0.192 0.500
Co1 Co 0.000 0.500 0.001